No. 1
Here is a relaxed PrThSc2 crystal from the Alexandria database. Energies are from GGA-PBE.

Output
Energy of formation (eV/f.u.): 0.2
Total DFT energy (no corrections) (eV per atom): -6.1576
Energy relative to the lowest polymorph listed for this composition (meV/atom): 35

Unit cell a=5.5541 b=5.5541 c=3.7581 alpha=90.00 beta=90.00 gamma=90.00
Space group P4/mmm (No. 123)
Symmetry-distinct sites (fractional):
Pr1 0.0000 0.0000 0.0000
Th1 0.5000 0.5000 0.0000
Sc1 0.0000 0.5000 0.5000

***

No. 2
Here is a relaxed Te4Pd2O crystal from the Alexandria database. Energies are from GGA-PBE.

Output
Total DFT energy (no corrections) (eV per atom): -4.3195
Formation energy from raw total energies (meV/atom): -332

Unit cell a=7.5776 b=7.5803 c=7.6994 alpha=109.36 beta=109.28 gamma=103.76
Space group P-1 (No. 2)
Symmetry-distinct sites (fractional):
Te1 0.1816 0.2297 0.4763
Te2 0.2009 0.7666 0.9057
Te3 0.2667 0.7007 0.4055
Te4 0.2701 0.3180 0.0225
Pd1 0.0000 0.0000 0.0000
Pd2 0.0000 0.5000 0.0000
Pd3 0.0000 0.5000 0.5000
Pd4 0.5000 0.5000 0.5000
O1 0.2858 0.2092 0.7482

***

No. 3
Here is a relaxed TaReW2 crystal from the Alexandria database. Energies are from GGA-PBE.

Output
Energy of formation (eV/f.u.): -0.2
Total DFT energy (no corrections) (eV per atom): -12.6037
Energy relative to the lowest polymorph listed for this composition (meV/atom): 98

Unit cell a=3.1882 b=4.5319 c=9.0214 alpha=90.00 beta=90.00 gamma=90.00
Space group Cmm2 (No. 35)
Symmetry-distinct sites (fractional):
Ta1 0.0000 0.0000 0.0000
Re1 0.0000 0.5000 0.7493
W1 0.0000 0.0000 0.5058
W2 0.0000 0.5000 0.2577

***

No. 4
Here is a relaxed NbNiAu2C crystal from the Alexandria database. Energies are from GGA-PBE.

Output
Energy of formation (eV/f.u.): 2.8
Total DFT energy (no corrections) (eV per atom): -5.7568

Unit cell a=4.2417 b=4.2417 c=4.2704 alpha=90.00 beta=90.00 gamma=90.00
Space group P4/mmm (No. 123)
Symmetry-distinct sites (fractional):
Nb1 0.0000 0.0000 0.0000
Ni1 0.5000 0.5000 0.0000
Au1 0.0000 0.5000 0.5000
C1 0.0000 0.0000 0.5000

***

No. 5
Here is a relaxed Ca2SiSb crystal from the Alexandria database. Energies are from GGA-PBE.

Output
Total DFT energy (no corrections) (eV per atom): -3.8848
Energy relative to the lowest polymorph listed for this composition (meV/atom): 11
Formation energy from raw total energies (meV/atom): -498

Unit cell a=3.9177 b=4.7953 c=11.1563 alpha=90.00 beta=90.00 gamma=90.00
Space group Imm2 (No. 44)
Symmetry-distinct sites (fractional):
Ca1 0.0000 0.0000 0.0000
Ca2 0.0000 0.5000 0.2321
Si1 0.0000 0.0000 0.4692
Sb1 0.0000 0.5000 0.7825

***

No. 6
Here is a relaxed KMg crystal from the Alexandria database. Energies are from GGA-PBE.

Output
Energy of formation (eV/f.u.): 0.4
Total DFT energy (no corrections) (eV per atom): -1.1603

Unit cell a=13.5724 b=13.5724 c=3.7899 alpha=90.00 beta=90.00 gamma=90.00
Space group I4/m (No. 87)
Symmetry-distinct sites (fractional):
K1 0.1221 0.1818 0.0000
Mg1 0.0667 0.6122 0.0000